GaCoF2 | PBE with a Hubbard U | optimized geometry

Properties
The crystal system is cubic. The relative energy among the computed polymorphs comes out at 616 meV per atom. For the density of states at the Fermi level, the calculation gives 3.83 states/eV/f.u. The value obtained for the mass density is 5.170 g/cm3.

Cell lengths 5.9823, 5.9823, 5.9823 Å; angles 90.00, 90.00, 90.00 degrees
With the nearest neighbours (Å) after each atom.
Space group Fm-3m (No. 225)
Unique sites:
Ga  0.0000  0.0000  0.0000 (multiplicity 4)  8 F 2.59
Co  0.0000  0.0000  0.5000 (multiplicity 4)  8 F 2.59
F  0.2500  0.2500  0.2500 (multiplicity 8)  4 Co 2.59, 4 Ga 2.59